No. 1
! Ta2Be16Ir (GGA-PBE, optimized geometry); values from VASP
&SYSTEM
  ibrav = 0, nat = 19, ntyp = 3
/
ATOMIC_SPECIES
Ta 180.95 Ta.upf
Be 9.01 Be.upf
Ir 192.22 Ir.upf
ATOMIC_POSITIONS angstrom
Ta 4.063 3.673 4.547
Ta 2.118 1.914 2.370
Be 4.534 5.577 2.742
Be 5.772 1.644 4.813
Be 2.052 3.949 6.275
Be 6.006 3.949 2.742
Be 4.136 1.644 6.275
Be 2.217 5.577 4.813
Be 2.445 4.686 2.736
Be 4.909 1.961 2.736
Be 2.169 1.961 5.184
Be 3.756 0.930 4.203
Be 1.304 3.643 4.203
Be 4.031 3.643 1.767
Be 0.304 2.766 0.340
Be 2.783 0.024 0.340
Be 0.026 0.024 2.803
Be 0.683 0.618 0.765
Ir 5.602 5.063 6.269
CELL_PARAMETERS angstrom
5.608 0.013 0.647
0.578 5.579 0.647
0.015 0.013 5.646
! theoretical density	6.6	g cm⁻³
! energy of formation	-259	meV per atom
! SG	R3m

=====

No. 2
! TaBe2Ir2 (GGA-PBE, optimized geometry); values from VASP
&SYSTEM
  ibrav = 0, nat = 5, ntyp = 3
/
ATOMIC_SPECIES
Be 9.01 Be.upf
Ir 192.22 Ir.upf
Ta 180.95 Ta.upf
ATOMIC_POSITIONS angstrom
Be 2.983 1.492 3.634
Be 1.492 2.983 3.634
Ir 1.492 1.492 1.806
Ir 2.983 2.983 5.462
Ta 0.000 0.000 0.000
CELL_PARAMETERS angstrom
2.983 0.000 0.000
0.000 2.983 0.000
1.492 1.492 7.268
! theoretical density	15.0	g cm⁻³
! energy of formation	-377	meV per atom
! SG	I4/mmm
! relative energy among the computed polymorphs	0.1715	eV/atom

=====

No. 3
! TaBe2Ir2 (GGA-PBE, optimized geometry); values from VASP
&SYSTEM
  ibrav = 0, nat = 5, ntyp = 3
/
ATOMIC_SPECIES
Ta 180.95 Ta.upf
Be 9.01 Be.upf
Ir 192.22 Ir.upf
ATOMIC_POSITIONS angstrom
Ta 0.000 0.000 0.000
Be -1.595 -2.214 4.463
Be -0.971 -1.347 2.715
Ir -2.492 -0.338 1.407
Ir -0.949 -2.587 0.843
CELL_PARAMETERS angstrom
0.260 -4.030 3.025
-2.826 0.468 4.153
-0.874 0.636 -4.928
! theoretical density	14.8	g cm⁻³
! energy of formation	-372	meV per atom
! SG	I4/mmm
! relative energy among the computed polymorphs	0.1759	eV/atom

=====

No. 4
! TaBeIr2 (GGA-PBE, optimized geometry); values from VASP
&SYSTEM
  ibrav = 0, nat = 4, ntyp = 3
/
ATOMIC_SPECIES
Be 9.01 Be.upf
Ir 192.22 Ir.upf
Ta 180.95 Ta.upf
ATOMIC_POSITIONS angstrom
Be 2.460 3.679 2.359
Ir 1.595 4.926 0.468
Ir 1.568 0.925 2.097
Ta 0.842 2.600 0.247
CELL_PARAMETERS angstrom
-0.811 -0.038 3.160
2.997 -1.043 0.756
1.711 5.284 0.503
! theoretical density	16.1	g cm⁻³
! energy of formation	-260	meV per atom
! SG	P4mm